No. 1
Computed, not measured: a relaxed Er3Sn3Ir2 crystal at the GGA-PBE level of DFT.

POSCAR file:
```
Er3Sn3Ir2
1.0
8.4076 0.0000 0.0000
0.0000 15.2157 0.0000
0.0000 0.0000 5.7619
Er Sn Ir
12 12 8
Direct
0.0300 0.1131 0.1087
0.0300 0.3869 0.1087
0.1684 0.2500 0.6417
0.3316 0.7500 0.1417
0.4700 0.6131 0.6087
0.4700 0.8869 0.6087
0.5300 0.1131 0.3913
0.5300 0.3869 0.3913
0.6684 0.2500 0.8583
0.8316 0.7500 0.3583
0.9700 0.6131 0.8913
0.9700 0.8869 0.8913
0.1837 0.7500 0.6342
0.1917 0.0339 0.6104
0.1917 0.4661 0.6104
0.3083 0.5339 0.1104
0.3083 0.9661 0.1104
0.3163 0.2500 0.1342
0.6837 0.7500 0.8658
0.6917 0.0339 0.8896
0.6917 0.4661 0.8896
0.8083 0.5339 0.3896
0.8083 0.9661 0.3896
0.8163 0.2500 0.3658
0.0862 0.6127 0.3690
0.0862 0.8873 0.3690
0.4138 0.1127 0.8690
0.4138 0.3873 0.8690
0.5862 0.6127 0.1310
0.5862 0.8873 0.1310
0.9138 0.1127 0.6310
0.9138 0.3873 0.6310
```

Values from the calculation:
ΔH_f (0 K) ... -0.734 eV/atom
Crystal system ... orthorhombic

No. 2
Computed, not measured: a relaxed NaSmUS4 crystal at the GGA-PBE level of DFT.

POSCAR file:
```
NaSmUS4
1.0
-4.0974 4.1243 5.8110
4.0974 -4.1243 5.8110
4.0974 4.1243 -5.8110
Na Sm U S
2 2 2 8
Direct
0.3727 0.1227 0.2500
0.6273 0.8773 0.7500
0.0000 0.5000 0.5000
0.5000 0.5000 0.0000
0.0000 0.0000 0.5000
0.0000 0.5000 0.0000
0.2097 0.7418 0.4679
0.2262 0.2582 0.9679
0.2309 0.2503 0.5194
0.2309 0.7114 0.9806
0.7691 0.2886 0.0194
0.7691 0.7497 0.4806
0.7738 0.7418 0.0321
0.7903 0.2582 0.5321
```

Values from the calculation:
Crystal system ... orthorhombic
Formation energy from raw total energies ... -1.604 eV per atom

No. 3
Computed, not measured: a relaxed LuMgPd crystal at the GGA-PBE level of DFT.

POSCAR file:
```
LuMgPd
1.0
4.5909 0.0000 0.0000
-2.2955 3.9759 0.0000
0.0000 0.0000 3.4824
Lu Mg Pd
1 1 1
Direct
0.0000 0.0000 0.0000
0.6667 0.3333 0.4987
0.3333 0.6667 0.5027
```

Values from the calculation:
ΔH_f (0 K) ... -0.487 eV/atom
Crystal system ... trigonal

No. 4
Computed, not measured: a relaxed Sr3As4Rh4 crystal at the GGA-PBE level of DFT.

POSCAR file:
```
Sr3As4Rh4
1.0
-3.8901 3.8901 3.8901
3.8901 -3.8901 3.8901
3.8901 3.8901 -3.8901
Sr As Rh
3 4 4
Direct
0.0000 0.5000 0.5000
0.5000 0.0000 0.5000
0.5000 0.5000 0.0000
0.0000 0.0000 0.6376
0.0000 0.6376 0.0000
0.3624 0.3624 0.3624
0.6376 0.0000 0.0000
0.0000 0.0000 0.2825
0.0000 0.2825 0.0000
0.2825 0.0000 0.0000
0.7175 0.7175 0.7175
```

Values from the calculation:
ΔH_f (0 K) ... -0.777 eV/atom
Crystal system ... cubic

No. 5
Computed, not measured: a relaxed TmPuRuPb crystal at the GGA-PBE level of DFT.

POSCAR file:
```
TmPuRuPb
1.0
3.3191 0.0000 0.0000
0.0000 3.3191 0.0000
0.0000 0.0000 8.6062
Tm Pu Ru Pb
1 1 1 1
Direct
0.0000 0.0000 0.0000
0.0000 0.0000 0.6021
0.5000 0.5000 0.8040
0.5000 0.5000 0.2970
```

Values from the calculation:
ΔH_f (0 K) ... -0.314 eV/atom
Crystal system ... tetragonal
Energy above the most stable polymorph in this dataset ... 0 meV/atom

No. 6
Computed, not measured: a relaxed CuHgSe2 crystal at the GGA-PBE level of DFT.

POSCAR file:
```
CuHgSe2
1.0
3.2567 0.0000 0.0000
0.0000 4.2275 0.0000
0.0000 0.0000 7.1260
Cu Hg Se
1 1 2
Direct
0.0000 0.0000 0.0000
0.5000 0.5000 0.8012
0.0000 0.5000 0.1431
0.5000 0.0000 0.5783
```

Values from the calculation:
Crystal system ... orthorhombic
Formation energy from raw total energies ... 0.132 eV per atom

What did we get for E? Answer: -6.1613; -6.4376; -4.2565; -5.5993; -8.2608; -2.7097 eV/atom, in the order shown.